[1]
A plane-wave DFT calculation with PBE was carried out for Zr2Zn6Cd after structural relaxation.

Size of the total moment in μB/cell: 0.00
ΔE_f in meV per atom: -148
Total energy in hartree per atom: -0.1102
N(E_F) in states/eV/f.u.: 5.98
Space group: No. 164

Unit cell a=5.5565 b=5.5565 c=5.7929 alpha=90.00 beta=90.00 gamma=120.00
Closest atoms and distances in Å follow each position.
Sites, in units of the cell vectors:
Zr  0.3333  0.6667  0.3753  9 Zn 3.05-3.06, 3 Cd 3.29
Zr  0.6667  0.3333  0.6247  9 Zn 3.05-3.06, 3 Cd 3.29
Zn  0.1810  0.3619  0.8390  4 Zn 2.54-2.55, 1 Cd 2.62
Zn  0.1810  0.8190  0.8390  4 Zn 2.54-2.55, 1 Cd 2.62
Zn  0.3619  0.1810  0.1610  4 Zn 2.54-2.55, 1 Cd 2.62
Zn  0.6381  0.8190  0.8390  4 Zn 2.54-2.55, 1 Cd 2.62
Zn  0.8190  0.1810  0.1610  4 Zn 2.54-2.55, 1 Cd 2.62
Zn  0.8190  0.6381  0.1610  4 Zn 2.54-2.55, 1 Cd 2.62
Cd  0.0000  0.0000  0.5000  6 Zn 2.62

[2]
A plane-wave DFT calculation with PBE was carried out for Ta4SiP after structural relaxation.

Size of the total moment in μB/cell: 0.00
Total energy in hartree per atom: -0.3323
E_form (uncorrected) in eV/atom: 0.6644
N(E_F) in states/eV/f.u.: 6.09
Space group: No. 216

Unit cell a=5.4049 b=5.4049 c=5.4049 alpha=60.00 beta=60.00 gamma=60.00
Closest atoms and distances in Å follow each position.
Sites, in units of the cell vectors:
Ta  0.1255  0.1255  0.1255  6 Ta 2.69-2.71
Ta  0.1255  0.1255  0.6236  6 Ta 2.69-2.71
Ta  0.1255  0.6236  0.1255  6 Ta 2.69-2.71
Ta  0.6236  0.1255  0.1255  6 Ta 2.69-2.71
Si  0.5000  0.5000  0.5000  12 Ta 3.17, 4 P 3.31
P  0.7500  0.7500  0.7500  12 Ta 3.17, 4 Si 3.31

[3]
A plane-wave DFT calculation with PBE was carried out for Ta4MoW2 after structural relaxation.

Size of the total moment in μB/cell: 0.00
ΔE_f in meV per atom: 681
Total energy in hartree per atom: -0.4168
N(E_F) in states/eV/f.u.: 5.23
Space group: No. 65

Unit cell a=2.7026 b=34.8981 c=2.7253 alpha=90.00 beta=90.00 gamma=90.00
Closest atoms and distances in Å follow each position.
Sites, in units of the cell vectors:
Ta  0.0000  0.0729  0.0000  4 Ta 2.70-2.73, 2 Mo 2.89
Ta  0.0000  0.3597  0.5000  4 Ta 2.70-2.73, 2 W 2.92
Ta  0.0000  0.6403  0.5000  4 Ta 2.70-2.73, 2 W 2.92
Ta  0.0000  0.9271  0.0000  4 Ta 2.70-2.73, 2 Mo 2.89
Ta  0.5000  0.1403  0.5000  4 Ta 2.70-2.73, 2 W 2.92
Ta  0.5000  0.4271  0.0000  4 Ta 2.70-2.73, 2 Mo 2.89
Ta  0.5000  0.5729  0.0000  4 Ta 2.70-2.73, 2 Mo 2.89
Ta  0.5000  0.8597  0.5000  4 Ta 2.70-2.73, 2 W 2.92
Mo  0.0000  0.0000  0.5000  4 Mo 2.70-2.73, 4 Ta 2.89
Mo  0.5000  0.5000  0.5000  4 Mo 2.70-2.73, 4 Ta 2.89
W  0.0000  0.2855  0.0000  6 W 2.70-2.82, 2 Ta 2.92
W  0.0000  0.7145  0.0000  6 W 2.70-2.82, 2 Ta 2.92
W  0.5000  0.2145  0.0000  6 W 2.70-2.82, 2 Ta 2.92
W  0.5000  0.7855  0.0000  6 W 2.70-2.82, 2 Ta 2.92